An optimized crystal structure of Cd2TeRhO6. Source: Alexandria via LeMat-Bulk, functional PBE-GGA.

calculated total energy = -4.849 eV/atom
crystal system = tetragonal
space group = P4mm (99)
calculated density = 6.6 g/cm3
formation energy (no corrections) = -6.42 eV/f.u.

Unit cell a=4.147 b=5.800 c=5.800 alpha=90.00 beta=90.00 gamma=90.00
Site moments in Bohr magnetons follow the coordinates.
Element x y z (fractional)
O1 0.711 0.249 0.249  0.00
O2 0.711 0.751 0.249  0.00
O3 0.711 0.751 0.751  0.00
O4 0.167 0.000 0.000  0.01
O5 0.711 0.249 0.751  0.00
O6 0.159 0.500 0.500  0.22
Rh1 0.648 0.500 0.500  0.54
Cd1 0.999 0.000 0.500  0.00
Cd2 0.999 0.500 0.000  0.00
Te1 0.631 0.000 0.000  0.01